[1]
A plane-wave DFT calculation with PBE was carried out for a relaxed structure of Pr6InSn3.

Cell lengths 7.788, 8.795, 10.072 Å; angles 90.00, 92.56, 90.00 degrees
Sites, in units of the cell vectors:
Pr1 0.160 0.330 0.063
Sn1 0.555 0.881 0.750
Sn2 0.055 0.619 0.250
Pr2 0.655 0.181 0.938
Sn3 0.445 0.119 0.250
Sn4 0.945 0.381 0.750
Pr3 0.340 0.830 0.437
In1 0.000 0.000 0.000
Pr4 0.840 0.670 0.937
In2 0.500 0.500 0.500
Sn5 0.500 0.500 0.000
Pr5 0.724 0.396 0.251
Pr6 0.276 0.604 0.749
Pr7 0.776 0.896 0.249
Pr8 0.660 0.170 0.563
Pr9 0.345 0.819 0.062
Pr10 0.845 0.681 0.562
Pr11 0.155 0.319 0.438
Sn6 0.000 0.000 0.500
Pr12 0.224 0.104 0.751

Calculated values
DOS at the Fermi energy	10.2	states/eV/f.u.
formation energy	-423	meV per atom
space-group type	P2_1/c, No. 14

=====

[2]
A plane-wave DFT calculation with PBE was carried out for a relaxed structure of Na12H5Pd3.

Cell lengths 13.156, 13.156, 13.156 Å; angles 109.47, 109.47, 109.47 degrees
Sites, in units of the cell vectors:
Na1 0.473 0.791 0.877
Na2 0.096 0.914 0.123
Na3 0.973 0.377 0.291
Na4 0.123 0.414 0.096
Pd1 0.625 0.250 0.375
H1 0.875 0.250 0.625
Pd2 0.250 0.625 0.875
Na5 0.877 0.291 0.473
Pd3 0.125 0.250 0.875
Na6 0.973 0.596 0.182
Na7 0.182 0.096 0.973
Pd4 0.375 0.750 0.625
Na8 0.086 0.182 0.209
Pd5 0.875 0.125 0.250
H2 0.750 0.125 0.875
Na9 0.404 0.377 0.586
H3 0.125 0.375 0.250
H4 0.500 0.500 0.000
H5 0.000 0.500 0.000
H6 0.500 0.000 0.000
Na10 0.586 0.709 0.682
Na11 0.914 0.096 0.623
Na12 0.709 0.123 0.027
Na13 0.527 0.209 0.123
Na14 0.791 0.318 0.914
H7 0.375 0.250 0.125
Na15 0.086 0.904 0.377
Na16 0.818 0.914 0.291
Pd6 0.375 0.625 0.250
Na17 0.377 0.973 0.791
Na18 0.209 0.527 0.623
Pd7 0.250 0.125 0.375
H8 0.375 0.125 0.750
H9 0.875 0.625 0.750
H10 0.250 0.375 0.625
Na19 0.404 0.027 0.318
Pd8 0.875 0.750 0.125
Na20 0.904 0.086 0.877
Na21 0.904 0.818 0.527
Na22 0.877 0.586 0.904
Na23 0.709 0.586 0.182
Na24 0.914 0.818 0.791
Na25 0.527 0.318 0.904
H11 0.750 0.625 0.375
Na26 0.377 0.404 0.086
Na27 0.623 0.596 0.914
Na28 0.682 0.473 0.596
Pd9 0.625 0.375 0.750
Pd10 0.750 0.875 0.625
H12 0.500 0.000 0.500
Na29 0.682 0.209 0.586
H13 0.250 0.875 0.125
Na30 0.318 0.527 0.404
Na31 0.473 0.682 0.096
Na32 0.318 0.791 0.414
Na33 0.209 0.682 0.086
Na34 0.123 0.709 0.527
Na35 0.414 0.291 0.318
H14 0.125 0.750 0.375
Na36 0.586 0.877 0.404
Na37 0.414 0.123 0.596
Na38 0.818 0.904 0.027
Na39 0.096 0.182 0.473
Na40 0.596 0.623 0.414
H15 0.625 0.750 0.875
H16 0.000 0.000 0.000
H17 0.500 0.500 0.500
Na41 0.027 0.623 0.709
Pd11 0.750 0.375 0.125
Na42 0.791 0.473 0.377
H18 0.625 0.875 0.250
Pd12 0.125 0.875 0.750
Na43 0.027 0.404 0.818
Na44 0.623 0.027 0.209
Na45 0.182 0.086 0.709
H19 0.000 0.500 0.500
Na46 0.596 0.973 0.682
Na47 0.291 0.414 0.818
H20 0.000 0.000 0.500
Na48 0.291 0.877 0.973

Calculated values
DOS at the Fermi energy	3.9	states/eV/f.u.
space-group type	Ia-3d, No. 230

=====

[3]
A plane-wave DFT calculation with PBE was carried out for a relaxed structure of KTl2Cd2.

Cell lengths 9.369, 9.369, 3.460 Å; angles 90.00, 90.00, 90.00 degrees
Sites, in units of the cell vectors:
Tl1 0.660 0.840 0.500
Cd1 0.132 0.368 0.000
K1 0.500 0.500 0.000
Cd2 0.632 0.132 0.000
Tl2 0.840 0.340 0.500
Cd3 0.368 0.868 0.000
Cd4 0.868 0.632 0.000
K2 0.000 0.000 0.000
Tl3 0.160 0.660 0.500
Tl4 0.340 0.160 0.500

Calculated values
DOS at the Fermi energy	2.4	states/eV/f.u.
E above lowest polymorph	0.0179	eV/atom
formation energy	-36	meV per atom
space-group type	P4/mbm, No. 127

=====

[4]
A plane-wave DFT calculation with PBE was carried out for a relaxed structure of SbOs2Br.

Cell lengths 4.680, 4.680, 4.680 Å; angles 60.00, 60.00, 60.00 degrees
Sites, in units of the cell vectors:
Os1 0.000 0.000 0.000
Sb1 0.750 0.750 0.750
Br1 0.500 0.500 0.500
Os2 0.250 0.250 0.250

Calculated values
DOS at the Fermi energy	4.6	states/eV/f.u.
E above lowest polymorph	0.9638	eV/atom
formation energy without anion corrections	1.390	eV per atom
space-group type	F-43m, No. 216

=====

[5]
A plane-wave DFT calculation with PBE was carried out for a relaxed structure of Tl2CdRe.

Cell lengths 7.498, 7.498, 4.827 Å; angles 71.23, 71.23, 22.34 degrees
Sites, in units of the cell vectors:
Tl1 0.938 0.938 0.062
Re1 0.250 0.250 0.251
Tl2 0.744 0.744 0.756
Cd1 0.569 0.569 0.432

Calculated values
DOS at the Fermi energy	3.1	states/eV/f.u.
E above lowest polymorph	0.0054	eV/atom
formation energy	657	meV per atom
space-group type	Imm2, No. 44

=====

[6]
A plane-wave DFT calculation with PBE was carried out for a relaxed structure of La8Pm5Nd.

Cell lengths 8.738, 8.738, 8.738 Å; angles 111.27, 105.93, 111.27 degrees
Sites, in units of the cell vectors:
Pm1 0.823 0.691 0.723
Pm2 0.867 0.900 0.177
Pm3 0.500 0.000 0.500
La1 0.334 0.265 0.443
La2 0.931 0.109 0.666
La3 0.529 0.602 0.273
La4 0.178 0.735 0.069
Pm4 0.277 0.100 0.968
La5 0.073 0.744 0.471
La6 0.557 0.891 0.822
Pm5 0.032 0.309 0.133
La7 0.671 0.398 0.927
Nd1 0.250 0.500 0.750
La8 0.727 0.256 0.329

Calculated values
DOS at the Fermi energy	21.3	states/eV/f.u.
formation energy	209	meV per atom
space-group type	I-4, No. 82

=====

[7]
A plane-wave DFT calculation with PBE was carried out for a relaxed structure of CaAc3Al8.

Cell lengths 5.847, 5.847, 10.188 Å; angles 73.32, 73.32, 60.00 degrees
Sites, in units of the cell vectors:
Al1 0.938 0.938 0.685
Al2 0.687 0.687 0.940
Ac1 0.999 0.999 0.004
Ca1 0.875 0.875 0.374
Al3 0.937 0.437 0.190
Al4 0.437 0.437 0.190
Al5 0.188 0.188 0.436
Al6 0.437 0.937 0.190
Ac2 0.375 0.375 0.876
Al7 0.439 0.938 0.685
Ac3 0.501 0.501 0.496
Al8 0.938 0.439 0.685

Calculated values
DOS at the Fermi energy	6.6	states/eV/f.u.
formation energy	-347	meV per atom
space-group type	R3m, No. 160

=====

[8]
A plane-wave DFT calculation with PBE was carried out for a relaxed structure of AcPm2Sm7.

Cell lengths 3.595, 10.497, 10.497 Å; angles 110.18, 90.00, 90.00 degrees
Sites, in units of the cell vectors:
Ac1 0.000 0.000 0.000
Sm1 0.000 0.328 0.672
Sm2 0.500 0.609 0.875
Sm3 0.500 0.391 0.125
Sm4 0.500 0.500 0.500
Pm1 0.500 0.822 0.178
Pm2 0.500 0.178 0.822
Sm5 0.000 0.672 0.328
Sm6 0.500 0.875 0.609
Sm7 0.500 0.125 0.391

Calculated values
DOS at the Fermi energy	16.3	states/eV/f.u.
E above lowest polymorph	0.0000	eV/atom
formation energy	392	meV per atom
space-group type	Cmmm, No. 65

=====

| no. | total energy (eV/atom) |
| --- | --- |
| 1 | -4.77 |
| 2 | -2.42 |
| 3 | -1.57 |
| 4 | -5.67 |
| 5 | -3.87 |
| 6 | -4.64 |
| 7 | -4.04 |
| 8 | -4.27 |